Entry 1:
VASP calculation (PBE) on a relaxed CsHfS3 crystal.

Cell lengths 4.4849, 4.4849, 18.6766 Å; angles 90.00, 90.00, 120.00 degrees
Last column: magnetic moment on the atom in μB.
Atoms (fractional coordinates):
S 0.0000 0.0000 0.2500  0.26
S 0.3333 0.6667 0.8772  0.20
Cs 0.0000 0.0000 0.0000  0.01
Hf 0.6667 0.3333 0.2500  -0.05
Hf 0.3333 0.6667 0.7500  -0.05
S 0.0000 0.0000 0.7500  0.26
Cs 0.0000 0.0000 0.5000  0.01
S 0.6667 0.3333 0.3772  0.20
S 0.3333 0.6667 0.6228  0.20
S 0.6667 0.3333 0.1228  0.20

ΔE_f (raw)	-901	meV/atom
electronic total energy	-5.539	eV/atom

Entry 2:
VASP calculation (PBE) on a relaxed Dy4Cu3Tc crystal.

Cell lengths 3.4506, 3.4506, 13.9135 Å; angles 90.00, 90.00, 90.00 degrees
Atoms (fractional coordinates):
Cu 0.5000 0.5000 0.7504
Dy 0.0000 0.0000 0.8804
Cu 0.5000 0.5000 0.2496
Dy 0.0000 0.0000 0.1196
Dy 0.0000 0.0000 0.3735
Tc 0.5000 0.5000 0.0000
Dy 0.0000 0.0000 0.6265
Cu 0.5000 0.5000 0.5000

electronic total energy	-5.312	eV/atom